Compound: KSmRe
Source: the Open Quantum Materials Database
Functional: GGA-PBE
Structure: relaxed

Properties
Total magnetic moment: 4.87 μB/cell
Final energy: -4.222 eV/atom
Volume: 29.69 Å³ per atom

Cell: 7.0889 7.0889 7.0889 Å, 90.00 90.00 90.00°
Closest atoms and distances in Å follow each position.
Space group F-43m (No. 216)
Asymmetric unit:
K 0.0000 0.0000 0.0000  4 Sm 3.07
Sm 0.2500 0.2500 0.2500  4 Re 3.07, 4 K 3.07
Re 0.0000 0.0000 0.5000  4 Sm 3.07

***

Compound: KReSn
Source: the Open Quantum Materials Database
Functional: GGA-PBE
Structure: relaxed

Properties
Total magnetic moment: 12.96 μB/cell
Final energy: -3.617 eV/atom
Volume: 31.35 Å³ per atom

Cell: 7.2192 7.2192 7.2192 Å, 90.00 90.00 90.00°
Closest atoms and distances in Å follow each position.
Space group F-43m (No. 216)
Asymmetric unit:
K 0.0000 0.0000 0.0000  4 Sn 3.13, 4 Re 3.13
Re 0.2500 0.2500 0.7500  4 K 3.13
Sn 0.2500 0.2500 0.2500  4 K 3.13

***

Compound: KReSn
Source: the Open Quantum Materials Database
Functional: GGA-PBE
Structure: relaxed

Properties
Total magnetic moment: 6.95 μB/cell
Final energy: -4.356 eV/atom
Volume: 26.80 Å³ per atom

Cell: 6.8509 6.8509 6.8509 Å, 90.00 90.00 90.00°
Closest atoms and distances in Å follow each position.
Space group F-43m (No. 216)
Asymmetric unit:
K 0.0000 0.0000 0.0000  4 Re 2.97
Re 0.2500 0.2500 0.2500  4 K 2.97, 4 Sn 2.97
Sn 0.0000 0.0000 0.5000  4 Re 2.97

***

Compound: KRe2Sn2
Source: the Open Quantum Materials Database
Functional: GGA-PBE
Structure: relaxed

Properties
Total magnetic moment: 0.01 μB/cell
Final energy: -6.471 eV/atom
Volume: 24.38 Å³ per atom

Cell: 4.2114 17.9416 6.4554 Å, 90.00 91.81 90.00°
Closest atoms and distances in Å follow each position.
Space group Cm (No. 8)
Asymmetric unit:
K 0.0000 0.0000 0.0000  2 K 3.08-3.39
K 0.0452 0.0000 0.5248  2 K 3.08-3.39
Re 0.0189 0.2131 0.0796  3 Re 2.49-2.57
Re 0.0244 0.2131 0.4771  3 Re 2.49-2.57
Sn 0.0222 0.3748 0.2737  6 Re 2.90-3.18
Sn 0.0230 0.3393 0.7763  6 Re 2.96-3.08, 2 Sn 3.27-3.31

***

Compound: KThRe
Source: the Open Quantum Materials Database
Functional: GGA-PBE
Structure: relaxed

Properties
Total magnetic moment: 0.09 μB/cell
Final energy: -5.635 eV/atom
Volume: 28.55 Å³ per atom

Cell: 6.9974 6.9974 6.9974 Å, 90.00 90.00 90.00°
Closest atoms and distances in Å follow each position.
Space group F-43m (No. 216)
Asymmetric unit:
K 0.0000 0.0000 0.0000  4 Re 3.03
Th 0.0000 0.0000 0.5000  4 Re 3.03
Re 0.2500 0.2500 0.7500  4 K 3.03, 4 Th 3.03

***

Compound: KTmRe
Source: the Open Quantum Materials Database
Functional: GGA-PBE
Structure: relaxed

Properties
Total magnetic moment: 5.94 μB/cell
Final energy: -4.110 eV/atom
Volume: 29.04 Å³ per atom

Cell: 7.0372 7.0372 7.0372 Å, 90.00 90.00 90.00°
Closest atoms and distances in Å follow each position.
Space group F-43m (No. 216)
Asymmetric unit:
K 0.0000 0.0000 0.0000  4 Tm 3.05
Tm 0.2500 0.2500 0.2500  4 K 3.05, 4 Re 3.05
Re 0.0000 0.0000 0.5000  4 Tm 3.05

***

Compound: KScZnS3
Source: the Open Quantum Materials Database
Functional: GGA-PBE
Structure: relaxed

Properties
Total magnetic moment: 0.00 μB/cell
Final energy: -4.926 eV/atom
Volume: 23.68 Å³ per atom

Cell: 8.3993 3.8360 9.3566 Å, 90.00 109.52 90.00°
Closest atoms and distances in Å follow each position.
Space group P2_1/m (No. 11)
Asymmetric unit:
K 0.2187 0.2500 0.2410  7 S 3.16-3.44
Sc 0.3320 0.7500 0.8672  5 S 2.51-2.63
Zn 0.0866 0.2500 0.6103  4 S 2.29-2.45
S 0.1161 0.2500 0.8624  1 Zn 2.29
S 0.2133 0.7500 0.5452  3 Zn 2.37-2.45
S 0.4684 0.7500 0.1502  3 Sc 2.51-2.59

***

Compound: KScZnS3
Source: the Open Quantum Materials Database
Functional: GGA-PBE
Structure: relaxed

Properties
Total magnetic moment: 0.00 μB/cell
Final energy: -4.796 eV/atom
Volume: 21.90 Å³ per atom

Cell: 16.9690 3.8342 8.2473 Å, 90.00 101.65 90.00°
Closest atoms and distances in Å follow each position.
Space group C2/m (No. 12)
Asymmetric unit:
K 0.1460 0.0000 0.0683  7 S 3.08-3.23
Sc 0.1727 0.0000 0.5733  5 S 2.54-2.57
Zn 0.0228 0.5000 0.7286  2 S 2.34-2.35
S 0.0000 0.0000 0.5000  4 Zn 2.66, 2 Sc 2.87
S 0.0000 0.5000 0.0000  2 Zn 2.35
S 0.1634 0.5000 0.7767  1 Zn 2.34, 2 Sc 2.57
S 0.1742 0.5000 0.3672  3 Sc 2.54-2.57

***

Compound: K2ZrSe2S
Source: the Open Quantum Materials Database
Functional: GGA-PBE
Structure: relaxed

Properties
Total magnetic moment: 0.00 μB/cell
Final energy: -5.025 eV/atom
Volume: 32.15 Å³ per atom

Cell: 12.7363 8.4362 7.2342 Å, 90.00 96.89 90.00°
Closest atoms and distances in Å follow each position.
Space group C2/c (No. 15)
Asymmetric unit:
K 0.1561 0.1543 0.1944  1 S 3.17, 4 Se 3.32-3.53
Zr 0.0000 0.4079 0.7500  1 S 2.35
Se 0.1433 0.4723 0.5071  2 Zr 2.65-2.74
S 0.0000 0.1296 0.7500  1 Zr 2.35

***

Compound: KTbSiS4
Source: the Open Quantum Materials Database
Functional: GGA-PBE
Structure: relaxed

Properties
Total magnetic moment: 0.00 μB/cell
Final energy: -5.383 eV/atom
Volume: 25.14 Å³ per atom

Cell: 6.4331 6.6220 8.6704 Å, 90.00 107.64 90.00°
Closest atoms and distances in Å follow each position.
Space group P2_1 (No. 4)
Asymmetric unit:
K 0.2309 0.0000 0.4350  8 S 3.25-3.59
Tb 0.2704 0.0193 0.9502  7 S 2.79-2.94
Si 0.2786 0.4816 0.1745  4 S 2.11-2.14
S 0.0797 0.4256 0.9326  1 Si 2.13
S 0.0829 0.4836 0.3305  1 Si 2.11
S 0.4758 0.7481 0.2014  1 Si 2.14
S 0.4785 0.7502 0.7776  1 Si 2.14

***

Compound: KTmSiS3
Source: the Open Quantum Materials Database
Functional: GGA-PBE
Structure: relaxed

Properties
Total magnetic moment: 0.09 μB/cell
Final energy: -4.984 eV/atom
Volume: 24.82 Å³ per atom

Cell: 4.2828 13.4565 10.3374 Å, 90.00 90.00 90.00°
Closest atoms and distances in Å follow each position.
Space group Cmcm (No. 63)
Asymmetric unit:
K 0.0000 0.2378 0.2500  8 S 3.34-3.73, 1 Si 3.45
Tm 0.0000 0.5000 0.0000  6 S 2.66-2.83
Si 0.0000 0.0188 0.7500  4 S 2.26-2.32
S 0.0000 0.1231 0.5781  1 Si 2.26
S 0.0000 0.4530 0.7500  2 Si 2.32

***

Compound: KSmSnS3
Source: the Open Quantum Materials Database
Functional: GGA-PBE
Structure: relaxed

Properties
Total magnetic moment: 0.00 μB/cell
Final energy: -5.059 eV/atom
Volume: 30.58 Å³ per atom

Cell: 14.8041 4.0834 12.1400 Å, 90.00 90.00 90.00°
Closest atoms and distances in Å follow each position.
Space group Pnma (No. 62)
Asymmetric unit:
K 0.2356 0.2500 0.1091  5 S 3.21-3.32
Sm 0.0020 0.2500 0.3556  6 S 2.76-2.87
Sn 0.0451 0.2500 0.9057  3 S 2.55-2.63
S 0.0878 0.7500 0.2280  1 Sn 2.55
S 0.1002 0.2500 0.5485  3 Sm 2.76-2.79
S 0.1303 0.7500 0.8167  2 Sn 2.63, 1 Sm 2.87

***

Compound: KSmZnS3
Source: the Open Quantum Materials Database
Functional: GGA-PBE
Structure: relaxed

Properties
Total magnetic moment: 0.00 μB/cell
Final energy: -4.707 eV/atom
Volume: 26.74 Å³ per atom

Cell: 8.4422 4.0438 9.8107 Å, 90.00 106.68 90.00°
Closest atoms and distances in Å follow each position.
Space group P2_1/m (No. 11)
Asymmetric unit:
K 0.2372 0.2500 0.2667  6 S 3.19-3.48
Sm 0.3159 0.7500 0.8642  6 S 2.74-2.99
Zn 0.0799 0.2500 0.6079  4 S 2.30-2.43
S 0.0805 0.2500 0.8428  1 Zn 2.30
S 0.2029 0.7500 0.5460  3 Zn 2.43
S 0.4615 0.7500 0.1525  3 Sm 2.74-2.80

***

Compound: KSmZnS3
Source: the Open Quantum Materials Database
Functional: GGA-PBE
Structure: relaxed

Properties
Total magnetic moment: 0.01 μB/cell
Final energy: -4.566 eV/atom
Volume: 25.11 Å³ per atom

Cell: 17.9397 4.1204 8.3636 Å, 90.00 102.94 90.00°
Closest atoms and distances in Å follow each position.
Space group C2/m (No. 12)
Asymmetric unit:
K 0.1399 0.0000 0.0711  6 S 3.12-3.20
Sm 0.1677 0.0000 0.5738  6 S 2.75-2.93
Zn 0.0274 0.5000 0.7398  2 S 2.32-2.34
S 0.0000 0.0000 0.5000  4 Zn 2.84, 2 Sm 2.93
S 0.0000 0.5000 0.0000  2 Zn 2.34
S 0.1599 0.5000 0.7938  1 Zn 2.32
S 0.1741 0.5000 0.3588  3 Sm 2.75-2.77

***

Compound: KTbSnS3
Source: the Open Quantum Materials Database
Functional: GGA-PBE
Structure: relaxed

Properties
Total magnetic moment: 0.01 μB/cell
Final energy: -4.951 eV/atom
Volume: 30.74 Å³ per atom

Cell: 3.9830 16.4257 11.2773 Å, 90.00 90.00 90.00°
Closest atoms and distances in Å follow each position.
Space group Cmcm (No. 63)
Asymmetric unit:
K 0.0000 0.1740 0.2500  2 S 3.04
Tb 0.0000 0.5000 0.0000  6 S 2.72-2.83
Sn 0.0000 0.1220 0.7500  4 S 2.67-2.77
S 0.0000 0.1130 0.5044  2 Tb 2.72, 1 Sn 2.77, 1 K 3.04
S 0.0000 0.4864 0.2500  2 Sn 2.67, 2 Tb 2.83

***

Compound: KTmSnS3
Source: the Open Quantum Materials Database
Functional: GGA-PBE
Structure: relaxed

Properties
Total magnetic moment: 0.01 μB/cell
Final energy: -4.932 eV/atom
Volume: 30.00 Å³ per atom

Cell: 3.9105 16.4810 11.1713 Å, 90.00 90.00 90.00°
Closest atoms and distances in Å follow each position.
Space group Cmcm (No. 63)
Asymmetric unit:
K 0.0000 0.1766 0.2500  2 S 3.02
Tm 0.0000 0.5000 0.0000  6 S 2.67-2.80
Sn 0.0000 0.1217 0.7500  4 S 2.65-2.77
S 0.0000 0.1107 0.5022  2 Tm 2.67, 1 Sn 2.77
S 0.0000 0.4867 0.2500  2 Sn 2.65, 2 Tm 2.80

***

Compound: KTmSnS3
Source: the Open Quantum Materials Database
Functional: GGA-PBE
Structure: relaxed

Properties
Total magnetic moment: 0.00 μB/cell
Final energy: -5.035 eV/atom
Volume: 29.08 Å³ per atom

Cell: 14.7950 3.9863 11.8330 Å, 90.00 90.00 90.00°
Closest atoms and distances in Å follow each position.
Space group Pnma (No. 62)
Asymmetric unit:
K 0.2329 0.2500 0.1077  5 S 3.13-3.35
Tm 0.0030 0.7500 0.6405  6 S 2.66-2.78
Sn 0.0457 0.2500 0.9042  3 S 2.54-2.61
S 0.0836 0.7500 0.2369  1 Sn 2.54, 2 Tm 2.78
S 0.0995 0.2500 0.5439  3 Tm 2.66-2.71
S 0.1314 0.7500 0.8107  2 Sn 2.61, 1 Tm 2.77

***

Compound: K4Ta2S11
Source: the Open Quantum Materials Database
Functional: GGA-PBE
Structure: relaxed

Properties
Total magnetic moment: 0.01 μB/cell
Final energy: -5.264 eV/atom
Volume: 27.54 Å³ per atom

Cell: 7.5291 11.5261 11.6639 Å, 68.63 87.15 83.39°
Closest atoms and distances in Å follow each position.
Space group P-1 (No. 2)
Asymmetric unit:
K 0.0359 0.3024 0.1693  6 S 3.11-3.39
K 0.2391 0.8651 0.5076  5 S 3.11-3.32
K 0.2574 0.8352 0.0604  6 S 3.12-3.27
K 0.2907 0.4618 0.3871  8 S 3.16-3.50
Ta 0.1540 0.3644 0.8019  6 S 2.27-2.51
Ta 0.2454 0.1403 0.6617  6 S 2.27-2.51
S 0.0026 0.0074 0.7471  1 S 2.10
S 0.0119 0.3170 0.6356  2 Ta 2.47-2.51
S 0.1041 0.5785 0.1144  1 Ta 2.27
S 0.1696 0.1317 0.9065  1 S 2.09
S 0.2167 0.5620 0.6352  1 S 2.10
S 0.2568 0.9061 0.7625  1 S 2.10
S 0.2708 0.1595 0.4611  1 Ta 2.27
S 0.3248 0.2237 0.9835  1 S 2.09
S 0.3425 0.5267 0.8034  1 S 2.10
S 0.4456 0.2978 0.6684  1 S 2.09
S 0.4479 0.8901 0.2643  1 S 2.09

***

Compound: K3TaS4
Source: the Open Quantum Materials Database
Functional: GGA-PBE
Structure: relaxed

Properties
Total magnetic moment: 0.00 μB/cell
Final energy: -5.236 eV/atom
Volume: 29.94 Å³ per atom

Cell: 9.3219 10.8511 9.4729 Å, 90.00 90.00 90.00°
Closest atoms and distances in Å follow each position.
Space group Pnma (No. 62)
Asymmetric unit:
K 0.0571 0.0459 0.2115  7 S 3.23-3.61
K 0.1362 0.7500 0.4182  5 S 3.15-3.43
Ta 0.2148 0.7500 0.9869  4 S 2.28-2.29
S 0.0090 0.2500 0.9141  1 Ta 2.29
S 0.1655 0.0759 0.5534  1 Ta 2.28
S 0.1925 0.7500 0.7464  1 Ta 2.29

***

Compound: KTa3S5
Source: the Open Quantum Materials Database
Functional: GGA-PBE
Structure: relaxed

Properties
Total magnetic moment: 0.00 μB/cell
Final energy: -7.168 eV/atom
Volume: 23.20 Å³ per atom

Cell: 5.7100 5.7100 7.3962 Å, 90.00 90.00 120.00°
Closest atoms and distances in Å follow each position.
Space group P6/mmm (No. 191)
Asymmetric unit:
K 0.0000 0.0000 0.0000  14 S 3.70-3.76
Ta 0.0000 0.5000 0.5000  4 S 2.51
S 0.0000 0.0000 0.5000  6 Ta 2.85
S 0.3333 0.6667 0.2447  3 Ta 2.51